(1)
# Y2AlCl

Crystalline Y2AlCl at its relaxed geometry (GGA-PBE, Alexandria).

Cell lengths 3.4704, 4.4631, 13.3351 Å; angles 90.00, 90.00, 90.00 degrees
Sites, in units of the cell vectors:
Y1 0.0000 0.0000 0.0000
Y2 0.0000 0.5000 0.2621
Y3 0.5000 0.0000 0.7621
Y4 0.5000 0.5000 0.5000
Al1 0.0000 0.0000 0.4214
Al2 0.5000 0.5000 0.9214
Cl1 0.0000 0.5000 0.6744
Cl2 0.5000 0.0000 0.1744



(2)
# YAl2Cl

Crystalline YAl2Cl at its relaxed geometry (GGA-PBE, Alexandria).

Cell lengths 4.9447, 4.9447, 6.9574 Å; angles 90.00, 90.00, 90.00 degrees
Sites, in units of the cell vectors:
Y1 0.0000 0.0000 0.0000
Y2 0.5000 0.5000 0.5000
Al1 0.0000 0.0000 0.5000
Al2 0.0000 0.5000 0.2500
Al3 0.5000 0.0000 0.7500
Al4 0.5000 0.5000 0.0000
Cl1 0.0000 0.5000 0.7500
Cl2 0.5000 0.0000 0.2500



no.,excess energy over the best structure of this formula in the dataset (meV per atom),ΔE_f (raw) (eV per atom)
1,223.6,-0.646
2,177.7,-0.353